Below is a relaxed structure of HoZn2Pt5, with properties calculated at the PBE-GGA level.

Structure (extended XYZ):
```
8
Lattice="-1.881 3.582 5.155 1.881 -3.582 5.155 1.881 3.582 -5.155" Properties=species:S:1:pos:R:3 pbc="T T T"
Ho 0.000 0.000 0.000
Zn 1.881 0.000 2.628
Zn 0.000 3.582 2.527
Pt 1.881 2.109 -1.402
Pt 1.881 2.109 1.402
Pt 0.000 3.582 0.000
Pt 0.000 1.473 3.753
Pt 0.000 1.473 6.557
```

Values from the calculation:
Volume, Å³/cell: 139
Uncorrected energy, eV/atom: -5.24
M_tot, μB/atom: 0.000
Density of states at the Fermi level, states/eV/cell: 3.26

Below is a relaxed structure of HoZn6Pt4, with properties calculated at the PBE-GGA level.

Structure (extended XYZ):
```
11
Lattice="-3.327 3.327 4.700 3.327 -3.327 4.700 3.327 3.327 -4.700" Properties=species:S:1:pos:R:3 pbc="T T T"
Ho 0.000 0.000 0.000
Zn 3.327 0.000 0.000
Zn 1.111 -1.111 2.798
Zn -1.111 1.111 2.798
Zn 0.000 3.327 0.000
Zn 2.216 2.216 1.902
Zn 1.111 1.111 6.602
Pt 2.056 2.056 -0.710
Pt 1.271 -1.271 5.410
Pt 1.271 1.271 3.990
Pt -1.271 1.271 5.410
```

Values from the calculation:
Volume, Å³/cell: 208
Uncorrected energy, eV/atom: -3.79
M_tot, μB/atom: 0.000
Density of states at the Fermi level, states/eV/cell: 3.94

Below is a relaxed structure of Ho2ZnPt3, with properties calculated at the PBE-GGA level.

Structure (extended XYZ):
```
12
Lattice="0.000 4.507 7.636 3.498 0.000 7.636 3.498 4.507 0.000" Properties=species:S:1:pos:R:3 pbc="T T T"
Ho 5.263 4.507 7.636
Ho 1.749 2.254 3.818
Ho 5.246 6.761 11.455
Ho 1.732 4.507 7.636
Zn 3.498 4.507 5.085
Zn 3.498 4.507 10.188
Pt 3.498 4.507 2.599
Pt 3.498 2.348 6.302
Pt 3.498 2.348 8.970
Pt 3.498 6.667 6.302
Pt 3.498 6.667 8.970
Pt 3.498 4.507 12.673
```

Values from the calculation:
Volume, Å³/cell: 241
Uncorrected energy, eV/atom: -5.73
M_tot, μB/atom: 0.000
Density of states at the Fermi level, states/eV/cell: 7.05

Below is a relaxed structure of HoZnPt6, with properties calculated at the PBE-GGA level.

Structure (extended XYZ):
```
8
Lattice="4.048 0.000 0.000 0.000 4.048 0.000 0.000 0.000 7.952" Properties=species:S:1:pos:R:3 pbc="T T T"
Ho 0.000 0.000 0.000
Zn 0.000 0.000 3.976
Pt 0.000 2.024 2.101
Pt 0.000 2.024 5.852
Pt 2.024 0.000 2.101
Pt 2.024 0.000 5.852
Pt 2.024 2.024 0.000
Pt 2.024 2.024 3.976
```

Values from the calculation:
Volume, Å³/cell: 130
Uncorrected energy, eV/atom: -5.95
M_tot, μB/atom: 0.000
Density of states at the Fermi level, states/eV/cell: 6.67

Below is a relaxed structure of Ho2Zn3Pt4, with properties calculated at the PBE-GGA level.

Structure (extended XYZ):
```
18
Lattice="2.795 -7.573 0.000 2.795 7.573 0.000 0.000 0.000 7.579" Properties=species:S:1:pos:R:3 pbc="T T T"
Ho 2.795 5.905 6.918
Ho 2.795 1.668 3.129
Ho 2.795 -1.668 4.450
Ho 2.795 -5.905 0.661
Zn 0.000 0.000 3.789
Zn 1.398 3.469 5.684
Zn 1.398 -3.469 1.895
Zn 2.795 0.000 0.000
Zn 4.193 3.469 5.684
Zn 4.193 -3.469 1.895
Pt 2.795 4.901 3.997
Pt 1.398 0.881 5.684
Pt 1.398 -0.881 1.895
Pt 2.795 2.672 0.207
Pt 2.795 -2.672 7.372
Pt 4.193 0.881 5.684
Pt 4.193 -0.881 1.895
Pt 2.795 -4.901 3.582
```

Values from the calculation:
Volume, Å³/cell: 321
Uncorrected energy, eV/atom: -5.04
M_tot, μB/atom: 0.000
Density of states at the Fermi level, states/eV/cell: 7.17

Below is a relaxed structure of Ho2ZnPt3, with properties calculated at the PBE-GGA level.

Structure (extended XYZ):
```
12
Lattice="5.544 0.000 0.000 -2.772 4.801 0.000 0.000 0.000 8.361" Properties=species:S:1:pos:R:3 pbc="T T T"
Ho 0.000 3.201 0.487
Ho 0.000 3.201 3.694
Ho 2.772 1.600 4.668
Ho 2.772 1.600 7.874
Zn 0.000 0.000 0.000
Zn 0.000 0.000 4.181
Pt 0.000 1.614 6.271
Pt -1.374 3.994 6.271
Pt 1.398 0.807 2.090
Pt 1.374 3.994 6.271
Pt 4.146 0.807 2.090
Pt 2.772 3.187 2.090
```

Values from the calculation:
Volume, Å³/cell: 223
Uncorrected energy, eV/atom: -5.83
M_tot, μB/atom: 0.000
Density of states at the Fermi level, states/eV/cell: 5.46

Below is a relaxed structure of HoZn3Pt3, with properties calculated at the PBE-GGA level.

Structure (extended XYZ):
```
14
Lattice="6.795 0.000 0.000 0.000 6.795 0.000 0.000 0.000 6.795" Properties=species:S:1:pos:R:3 pbc="T T T"
Ho 0.000 0.000 0.000
Ho 3.398 3.398 3.398
Zn 0.000 1.699 3.398
Zn 0.000 5.096 3.398
Zn 1.699 3.398 0.000
Zn 3.398 0.000 1.699
Zn 3.398 0.000 5.096
Zn 5.096 3.398 0.000
Pt 0.000 3.398 1.699
Pt 0.000 3.398 5.096
Pt 1.699 0.000 3.398
Pt 3.398 1.699 0.000
Pt 3.398 5.096 0.000
Pt 5.096 0.000 3.398
```

Values from the calculation:
Volume, Å³/cell: 314
Uncorrected energy, eV/atom: -3.82
M_tot, μB/atom: 0.000
Density of states at the Fermi level, states/eV/cell: 4.56

Below is a relaxed structure of Ho2ZnPt, with properties calculated at the PBE-GGA level.

Structure (extended XYZ):
```
4
Lattice="3.535 0.000 0.000 0.000 3.535 0.000 0.000 0.000 6.920" Properties=species:S:1:pos:R:3 pbc="T T T"
Ho 0.000 0.000 1.681
Ho 0.000 0.000 5.239
Zn 1.768 1.768 3.460
Pt 1.768 1.768 0.000
```

Values from the calculation:
Volume, Å³/cell: 86
Uncorrected energy, eV/atom: -4.94
M_tot, μB/atom: 0.000
Density of states at the Fermi level, states/eV/cell: 2.87

Below is a relaxed structure of HoZn11Pt, with properties calculated at the PBE-GGA level.

Structure (extended XYZ):
```
13
Lattice="2.613 -6.309 0.000 2.613 6.309 0.000 -2.510 0.000 6.257" Properties=species:S:1:pos:R:3 pbc="T T T"
Ho 0.000 0.000 0.000
Zn 1.306 3.154 0.000
Zn 0.122 4.087 4.048
Zn 0.098 1.373 4.920
Zn 2.594 4.087 2.210
Zn 2.618 1.373 1.338
Zn 1.306 -3.154 0.000
Zn 1.358 0.000 3.129
Zn 0.098 -1.373 4.920
Zn 0.122 -4.087 4.048
Zn 2.618 -1.373 1.338
Zn 2.594 -4.087 2.210
Pt -1.255 0.000 3.129
```

Values from the calculation:
Volume, Å³/cell: 206
Uncorrected energy, eV/atom: -2.16
M_tot, μB/atom: 0.000
Density of states at the Fermi level, states/eV/cell: 3.71

Below is a relaxed structure of HoZn4Pt2, with properties calculated at the PBE-GGA level.

Structure (extended XYZ):
```
14
Lattice="7.485 0.000 0.000 0.000 7.485 0.000 0.000 0.000 4.289" Properties=species:S:1:pos:R:3 pbc="T T T"
Ho 0.000 0.000 0.000
Ho 3.742 3.742 2.145
Zn 0.757 2.653 2.145
Zn 1.089 4.499 0.000
Zn 2.653 0.757 2.145
Zn 2.986 6.395 0.000
Zn 4.499 1.089 0.000
Zn 4.832 6.728 2.145
Zn 6.395 2.986 0.000
Zn 6.728 4.832 2.145
Pt 1.589 5.896 2.145
Pt 2.153 2.153 0.000
Pt 5.331 5.331 0.000
Pt 5.896 1.589 2.145
```

Values from the calculation:
Volume, Å³/cell: 240
Uncorrected energy, eV/atom: -3.77
M_tot, μB/atom: 0.000
Density of states at the Fermi level, states/eV/cell: 4.68

Below is a relaxed structure of Ho2ZnPt9, with properties calculated at the PBE-GGA level.

Structure (extended XYZ):
```
12
Lattice="4.073 0.000 0.000 0.000 4.073 0.000 0.000 0.000 12.045" Properties=species:S:1:pos:R:3 pbc="T T T"
Ho 0.000 0.000 2.078
Ho 0.000 0.000 9.967
Zn 0.000 0.000 6.022
Pt 0.000 2.037 0.000
Pt 0.000 2.037 4.160
Pt 0.000 2.037 7.884
Pt 2.037 0.000 0.000
Pt 2.037 0.000 4.160
Pt 2.037 0.000 7.884
Pt 2.037 2.037 2.076
Pt 2.037 2.037 6.022
Pt 2.037 2.037 9.969
```

Values from the calculation:
Volume, Å³/cell: 200
Uncorrected energy, eV/atom: -6.20
M_tot, μB/atom: 0.000
Density of states at the Fermi level, states/eV/cell: 11.41

Below is a relaxed structure of Ho2ZnPt, with properties calculated at the PBE-GGA level.

Structure (extended XYZ):
```
8
Lattice="5.826 0.000 0.000 0.000 4.523 0.000 -2.886 0.000 6.798" Properties=species:S:1:pos:R:3 pbc="T T T"
Ho -0.151 1.131 2.819
Ho 1.430 3.392 0.499
Ho 1.510 1.131 6.299
Ho 3.091 3.392 3.980
Zn 0.174 3.392 4.775
Zn 2.766 1.131 2.023
Pt -1.452 1.131 5.386
Pt 4.392 3.392 1.413
```

Values from the calculation:
Volume, Å³/cell: 179
Uncorrected energy, eV/atom: -4.96
M_tot, μB/atom: 0.000
Density of states at the Fermi level, states/eV/cell: 5.57